The following is a DFT calculation (PBE) of a geometry-optimized RbU2HgO7 structure.

Calculated values
For the total energy, the calculation gives -84.8 eV per formula unit. The calculation puts the calculated volume at 18.45 A^3/atom. As for the mass density: 7.15 g cm⁻³. Its uncorrected formation energy is -2.386 eV per atom.

abc: 4.271 4.271 11.121
angles: 90.00 90.00 90.00
Last column: magnetic moment on the atom in μB.
Fractional positions:
Rb 0.000 0.000 0.000  0.00
U 0.500 0.500 0.196  0.02
U 0.500 0.500 0.804  0.02
Hg 0.000 0.000 0.500  0.33
O 0.500 0.500 0.634  0.10
O 0.000 0.500 0.186  0.01
O 0.500 0.000 0.186  0.01
O 0.000 0.500 0.814  0.01
O 0.500 0.000 0.814  0.01
O 0.500 0.500 0.366  0.10
O 0.500 0.500 0.000  0.01